No. 1
Material: CsScN2F
Method: DFT, meta-GGA SCAN
State: PBEsol geometry

The calculation puts the density of states at the Fermi level at 1.9 states/eV/f.u. For the total energy, the calculation gives -68.48 eV/f.u. For the uncorrected formation energy, the calculation gives 1.1375 eV/atom. Its total magnetization is 0.0103 μB/atom.

The space group is P4/mmm (No. 123) and the conventional cell measures 4.410, 4.410 and 4.690 Å, with angles of 90.00, 90.00 and 90.00 degrees. The inequivalent atoms are Cs at (0.000, 0.000, 0.000), Sc at (0.500, 0.500, 0.500), N at (0.000, 0.500, 0.000) and F at (0.000, 0.000, 0.500).

=====

No. 2
Material: CsSiNF2
Method: DFT, meta-GGA SCAN
State: PBEsol geometry

The calculation puts the density of states at the Fermi level at 2.8 states/eV/f.u. For the total energy, the calculation gives -60.47 eV/f.u. For the uncorrected formation energy, the calculation gives 0.7447 eV/atom. Its total magnetization is 0.0984 μB/atom.

The space group is P4/mmm (No. 123) and the conventional cell measures 4.942, 4.942 and 4.547 Å, with angles of 90.00, 90.00 and 90.00 degrees. The inequivalent atoms are Cs at (0.000, 0.000, 0.000), Si at (0.500, 0.500, 0.500), N at (0.000, 0.000, 0.500) and F at (0.000, 0.500, 0.000).

=====

No. 3
Material: CsSrNF2
Method: DFT, meta-GGA SCAN
State: PBEsol geometry

The calculation puts the density of states at the Fermi level at 2.1 states/eV/f.u. For the total energy, the calculation gives -81.10 eV/f.u. For the uncorrected formation energy, the calculation gives -0.9295 eV/atom. Its total magnetization is 0.1019 μB/atom.

The space group is P4/mmm (No. 123) and the conventional cell measures 5.017, 5.017 and 4.559 Å, with angles of 90.00, 90.00 and 90.00 degrees. The inequivalent atoms are Cs at (0.000, 0.000, 0.000), Sr at (0.500, 0.500, 0.500), N at (0.000, 0.000, 0.500) and F at (0.000, 0.500, 0.000).

=====

No. 4
Material: CsTaN2F
Method: DFT, meta-GGA SCAN
State: PBEsol geometry

The calculation puts the density of states at the Fermi level at 0.2 states/eV/f.u. For the total energy, the calculation gives -131.93 eV/f.u. For the uncorrected formation energy, the calculation gives -1.0827 eV/atom. Its total magnetization is 0.2003 μB/atom.

The space group is P4/mmm (No. 123) and the conventional cell measures 4.096, 4.096 and 4.505 Å, with angles of 90.00, 90.00 and 90.00 degrees. The inequivalent atoms are Cs at (0.000, 0.000, 0.000), Ta at (0.500, 0.500, 0.500), N at (0.000, 0.500, 0.500) and F at (0.500, 0.500, 0.000).

=====

The lowest density of states at the Fermi level belongs to which entry? CsTaN2F